Record 1
# TcNi3H

An optimized crystal structure of TcNi3H (GGA-PBE, Alexandria via LeMat-Bulk).

Computed properties:
Spin magnetization ... 0.7244 μB/atom
VASP energy ... -6.0468 eV/atom

Lattice parameters (Å, degrees): 3.688 3.688 3.688 90.00 90.00 90.00
Space group Pm-3m (No. 221)
Inequivalent atoms, fractional coordinates:
Tc 0.000 0.000 0.000 x1
Ni 0.000 0.500 0.500 x3
H 0.500 0.500 0.500 x1


Record 2
# TaAlI2O

An optimized crystal structure of TaAlI2O (GGA-PBE, Alexandria via LeMat-Bulk).

Computed properties:
Spin magnetization ... 0.2694 μB/atom
ΔE_f (raw) ... -2.311 eV per formula unit

Lattice parameters (Å, degrees): 5.837 5.837 3.906 90.00 90.00 90.00
Space group P4/mmm (No. 123)
Inequivalent atoms, fractional coordinates:
Ta 0.000 0.000 0.000 x1
Al 0.500 0.500 0.500 x1
I 0.000 0.500 0.000 x2
O 0.000 0.000 0.500 x1


Record 3
# SrBeRh2

An optimized crystal structure of SrBeRh2 (GGA-PBE, Alexandria via LeMat-Bulk).

Computed properties:
ΔE_f ... 0.0109 eV/atom
Spin magnetization ... 0.0000 μB/atom

Lattice parameters (Å, degrees): 3.095 5.206 8.449 90.00 90.00 90.00
Space group Immm (No. 71)
Inequivalent atoms, fractional coordinates:
Sr 0.000 0.000 0.000 x2
Be 0.000 0.000 0.500 x2
Rh 0.000 0.500 0.194 x4


Record 4
# ScTiCu

An optimized crystal structure of ScTiCu (GGA-PBE, Alexandria via LeMat-Bulk).

Computed properties:
ΔE_f ... -0.0271 eV/atom
Spin magnetization ... 0.0000 μB/atom

Lattice parameters (Å, degrees): 3.297 11.435 5.800 90.00 90.00 90.00
Space group Cmc2_1 (No. 36)
Inequivalent atoms, fractional coordinates:
Sc 0.000 0.194 0.000 x4
Ti 0.000 0.484 0.780 x4
Cu 0.000 0.114 0.536 x4


Record 5
# La3AgPd2

An optimized crystal structure of La3AgPd2 (GGA-PBE, Alexandria via LeMat-Bulk).

Computed properties:
ΔE_f ... -0.4471 eV/atom
Spin magnetization ... 0.0000 μB/atom

Lattice parameters (Å, degrees): 4.097 17.204 4.555 90.00 90.00 90.00
Space group Cmmm (No. 65)
Inequivalent atoms, fractional coordinates:
La 0.000 0.000 0.000 x2
La 0.000 0.167 0.500 x4
Ag 0.000 0.500 0.500 x2
Pd 0.000 0.366 0.000 x4


Record 6
# KSmGeO3

An optimized crystal structure of KSmGeO3 (GGA-PBE, Alexandria via LeMat-Bulk).

Computed properties:
Spin magnetization ... 0.0000 μB/atom
ΔE_f (raw) ... -12.903 eV per formula unit

Lattice parameters (Å, degrees): 6.709 3.451 10.412 90.00 101.46 90.00
Space group P2_1/m (No. 11)
Inequivalent atoms, fractional coordinates:
K 0.223 0.250 0.267 x2
Sm 0.348 0.750 0.869 x2
Ge 0.202 0.250 0.598 x2
O 0.122 0.250 0.765 x2
O 0.367 0.750 0.643 x2
O 0.418 0.750 0.096 x2